Entry 1:
NbMoW2 after structural relaxation, computed with PBE.

POSCAR file:
```
NbMoW2
1.0
-0.6996 -5.3150 -4.9088
7.0820 0.5060 -1.5572
3.7436 -4.2453 -1.3187
W Nb Mo
4 2 2
Cartesian
5.1052 -4.9942 -3.3927
8.4882 -7.3850 -6.6679
1.3744 -4.3920 -3.6588
5.2842 -1.3375 -1.8501
7.0084 -3.0719 -3.0545
3.1912 -2.4045 -3.2330
3.1176 -5.9824 -4.7303
0.0000 0.0000 0.0000
```

Properties
excess energy over the best structure of this formula in the dataset: 0.9386 eV/atom
M_tot: 0.00 μB per atom
total energy: -10.82 eV per atom
E_form: 0.88 eV/atom

---

Entry 2:
Nb6Mo12W after structural relaxation, computed with PBE.

POSCAR file:
```
Nb6Mo12W
1.0
7.5987 -0.9514 -1.1398
-2.0924 7.3666 -1.1398
-2.0924 -2.4378 7.0444
Mo W Nb
12 1 6
Cartesian
1.6201 4.2291 2.6882
-1.3049 4.8530 -0.6644
4.9947 -0.5547 -0.6639
-0.5207 1.7332 2.0781
4.7195 5.4978 0.1088
1.7938 -0.2517 2.0767
3.9346 2.2442 2.6868
1.7921 2.0897 0.1235
-1.3055 -1.5204 4.6561
-1.5808 4.5322 5.4288
1.6218 1.8878 4.6414
4.7188 -0.8755 5.4294
0.0000 0.0000 0.0000
-0.9563 4.2742 2.3803
1.7049 -0.7060 4.6307
4.3702 -0.2967 2.3847
-0.9558 1.5824 4.6321
4.3698 2.3951 0.1328
1.7090 4.6835 0.1342
```

Properties
M_tot: 0.00 μB per atom
total energy: -10.27 eV per atom
E_form: 0.43 eV/atom

---

Entry 3:
Nb3MoW2 after structural relaxation, computed with PBE.

POSCAR file:
```
Nb3MoW2
1.0
-0.4864 2.8241 3.5710
-0.3771 -3.9893 6.0389
6.4369 0.3271 0.6180
W Nb Mo
4 6 2
Cartesian
2.9306 -0.2266 3.5137
0.0000 0.0000 0.0000
2.6429 -0.6115 6.7141
3.2185 0.1636 0.3090
4.3023 1.2665 5.4552
1.3637 1.4936 1.9396
4.5869 1.6576 2.2493
1.2713 -2.1046 4.7726
4.5010 -1.9402 5.0830
1.0726 1.1022 5.1448
-0.2877 -0.3830 3.1990
-0.5758 -0.7822 6.4108
```

Properties
excess energy over the best structure of this formula in the dataset: 0.0000 eV/atom
M_tot: 0.00 μB per atom
total energy: -11.24 eV per atom
E_form: -0.08 eV/atom

---

Entry 4:
NbMoW2 after structural relaxation, computed with PBE.

POSCAR file:
```
NbMoW2
1.0
-2.9996 -0.3115 1.0826
1.0428 -4.0699 1.7184
1.2081 1.9611 3.9115
W Nb Mo
2 1 1
Cartesian
0.5214 -2.0350 0.8592
0.6040 0.9805 1.9557
-1.4998 -0.1557 0.5413
-0.3744 -1.2102 3.3562
```

Properties
excess energy over the best structure of this formula in the dataset: 0.0006 eV/atom
M_tot: 0.00 μB per atom
total energy: -11.76 eV per atom
E_form: -0.06 eV/atom

---

Entry 5:
Nb3Mo4W3 after structural relaxation, computed with PBE.

POSCAR file:
```
Nb3Mo4W3
1.0
3.2213 0.0000 0.0000
0.0000 7.3660 -0.1164
0.0000 -0.0516 7.3668
Mo Nb W
4 3 3
Cartesian
0.0000 4.7268 2.5461
0.0000 6.4718 6.0388
0.0000 2.6822 4.6088
0.0000 1.2189 0.8318
1.6107 6.2299 1.0297
1.6107 4.6742 5.1481
1.6107 2.1254 2.6216
1.6107 1.2799 6.0234
0.0000 3.6937 0.1040
0.0000 7.1779 3.5577
```

Properties
M_tot: 0.00 μB per atom
total energy: -10.70 eV per atom
E_form: 0.54 eV/atom

---

Entry 6:
Nb4Mo4W3 after structural relaxation, computed with PBE.

POSCAR file:
```
Nb4Mo4W3
1.0
-0.6562 1.6323 2.1871
-3.6415 -2.5719 0.8383
5.6657 -8.5678 10.5105
W Nb Mo
3 4 4
Cartesian
-0.3039 -1.9574 4.9482
1.6718 -7.5500 8.5879
5.6655 -8.5677 10.5106
2.3420 -4.4355 8.8086
-1.3108 -1.5085 1.9494
2.6786 -7.9987 11.5867
-0.9740 -5.0721 4.7275
1.3367 -3.9923 5.8052
-2.6274 -3.0141 3.8871
3.9952 -6.4932 9.6489
0.0314 -5.5154 7.7310
```

Properties
M_tot: 0.00 μB per atom
total energy: -11.22 eV per atom
E_form: -0.08 eV/atom

---

Entry 7:
Nb2Mo7W2 after structural relaxation, computed with PBE.

POSCAR file:
```
Nb2Mo7W2
1.0
-0.0490 -5.0448 1.0955
5.7783 -6.8880 -3.4348
5.4896 -2.5037 2.2802
Mo W Nb
7 2 2
Cartesian
0.0000 0.0000 0.0000
9.2839 -10.3902 0.5800
1.9350 -4.0464 -0.6392
3.2563 -2.6216 1.2141
6.0721 -6.1153 -0.6417
7.9626 -11.8150 -1.2733
5.1467 -8.3213 0.5825
6.4701 -9.1154 -1.6956
4.7488 -5.3212 1.6364
1.9409 -6.5896 -0.1189
9.2780 -7.8470 0.0598
```

Properties
M_tot: 0.00 μB per atom
total energy: -10.68 eV per atom
E_form: 0.40 eV/atom

---

Entry 8:
Nb4Mo3W4 after structural relaxation, computed with PBE.

POSCAR file:
```
Nb4Mo3W4
1.0
2.8034 -0.0132 -0.1083
-0.0114 4.4859 -0.6748
-0.3661 -0.0862 14.6377
Nb W Mo
4 4 3
Cartesian
0.3038 1.1770 7.7992
0.4379 4.0094 11.3652
2.1221 3.2096 6.0555
1.9881 0.3772 2.4895
1.4601 1.9568 12.9562
1.1209 0.7703 5.1046
1.3051 3.6163 8.7501
0.9658 2.4298 0.8984
2.2640 1.5631 10.3363
2.8034 -0.0131 -0.1083
0.1619 2.8235 3.5184
```

Properties
M_tot: 0.00 μB per atom
total energy: -11.40 eV per atom
E_form: -0.08 eV/atom

---

Entry 9:
Nb3Mo4W2 after structural relaxation, computed with PBE.

POSCAR file:
```
Nb3Mo4W2
1.0
4.5303 0.0000 0.0000
-2.2651 3.9087 -0.3432
0.0000 0.7347 8.3578
Mo W Nb
4 2 3
Cartesian
2.2651 4.3988 5.2327
0.0000 3.2595 7.2080
0.0000 0.2446 2.7820
2.2651 1.3839 0.8067
0.0000 2.7665 1.5986
2.2651 1.8769 6.4160
2.2651 1.6254 3.5543
0.0000 3.0180 4.4603
0.0000 0.0000 0.0000
```

Properties
excess energy over the best structure of this formula in the dataset: 0.0000 eV/atom
M_tot: 0.00 μB per atom
total energy: -11.16 eV per atom
E_form: -0.11 eV/atom

---

Entry 10:
NbMo8W6 after structural relaxation, computed with PBE.

POSCAR file:
```
NbMo8W6
1.0
6.1655 0.0000 3.5435
2.0645 5.8096 3.5435
0.0211 0.0149 7.0989
W Mo Nb
6 8 1
Cartesian
3.6382 3.5998 9.6907
4.1040 0.7981 8.8218
4.6129 2.2247 4.4951
6.6142 3.6017 6.2039
4.1472 5.0264 5.3641
1.6370 2.2228 7.9819
2.0585 1.4531 3.5540
6.1927 4.3714 10.6319
5.6095 5.0619 7.9777
2.0913 3.5907 5.3588
5.6450 0.7682 6.2562
6.1599 2.2338 8.8270
2.6061 5.0563 7.9297
2.6417 0.7626 6.2081
0.0000 0.0000 0.0000
```

Properties
excess energy over the best structure of this formula in the dataset: 0.0000 eV/atom
M_tot: 0.00 μB per atom
total energy: -11.34 eV per atom
E_form: 0.29 eV/atom

---

Entry 11:
Nb4MoW5 after structural relaxation, computed with PBE.

POSCAR file:
```
Nb4MoW5
1.0
-2.0692 -2.0983 1.3144
2.2489 -0.8761 2.1418
-5.1852 11.4606 10.1326
W Mo Nb
5 1 4
Cartesian
-2.5027 4.2431 6.7944
-1.4558 1.9291 4.7486
-0.4104 -0.3816 2.7056
-4.5951 8.8678 10.8832
-3.5496 6.5571 8.8402
0.0000 0.0000 0.0000
-1.0280 2.2721 2.0088
-3.1149 6.8849 6.0871
-2.0702 4.5757 4.0455
-4.1572 9.1885 8.1238
```

Properties
M_tot: 0.00 μB per atom
total energy: -11.65 eV per atom
E_form: -0.06 eV/atom

---

Entry 12:
NbMo4W5 after structural relaxation, computed with PBE.

POSCAR file:
```
NbMo4W5
1.0
-2.6428 1.2722 -1.2344
0.9389 -0.8750 -2.9120
-7.5701 -14.0100 1.7687
W Mo Nb
5 4 1
Cartesian
-4.6370 -6.8064 -1.1889
-6.1355 -9.5798 -0.8387
-3.1385 -4.0330 -1.5390
-7.6333 -12.3517 -0.4888
-1.6407 -1.2611 -1.8889
-6.0398 -11.1779 1.4111
-1.5303 -2.8321 0.3575
-3.0333 -5.6138 0.7087
-4.5368 -8.3962 1.0600
0.0000 0.0000 0.0000
```

Properties
excess energy over the best structure of this formula in the dataset: 0.0000 eV/atom
M_tot: 0.00 μB per atom
total energy: -11.85 eV per atom
E_form: -0.03 eV/atom